This record from the Alexandria database describes CaZrW2 after structural relaxation. The functional is GGA-PBE.

Unit cell a=2.8695 b=4.8463 c=6.3278 alpha=90.00 beta=99.05 gamma=90.00
With the nearest neighbours (Å) after each atom.
Atoms (fractional coordinates):
Ca: 0.0000 0.0000 0.0000  2 Ca 2.87
Zr: 0.5000 0.0000 0.5000  2 Zr 2.87, 4 W 2.89
W: 0.1965 0.5000 0.6884  1 W 2.47
W: 0.8035 0.5000 0.3116  1 W 2.47

Output
The value obtained for the energy above the lowest structure with this stoichiometry is 22.0 kJ/mol of atoms. Its total energy is -33.952 eV/cell. Its total moment is 0.000 μB per atom. As for the calculated formation energy: 2.50 eV per formula unit.

---

This record from the Alexandria database describes Zr2NiP after structural relaxation. The functional is GGA-PBE.

Unit cell a=4.7367 b=4.7367 c=4.7367 alpha=130.02 beta=120.58 gamma=81.27
With the nearest neighbours (Å) after each atom.
Atoms (fractional coordinates):
Zr: 0.2471 0.2471 0.0000  4 P 2.68-2.97, 4 Ni 2.70-2.94
Zr: 0.7529 0.7529 0.0000  4 P 2.68-2.97, 4 Ni 2.70-2.94
Ni: 0.5000 0.0000 0.5000  8 Zr 2.70-2.94
P: 0.0000 0.5000 0.5000  8 Zr 2.68-2.97

Output
Its total energy is -30.664 eV/cell. Its total moment is 0.000 μB per atom. As for the calculated formation energy: -2.38 eV per formula unit.

---

This record from the Alexandria database describes Ce3Fe5Se12 after structural relaxation. The functional is GGA-PBE.

Unit cell a=13.3559 b=13.3559 c=13.3559 alpha=109.47 beta=109.47 gamma=109.47
With the nearest neighbours (Å) after each atom.
Atoms (fractional coordinates):
Ce: 0.1250 0.2500 0.3750  8 Se 3.01-3.04
Ce: 0.1250 0.3750 0.7500  8 Se 3.01-3.04
Ce: 0.2500 0.3750 0.1250  8 Se 3.01-3.04
Ce: 0.2500 0.8750 0.6250  8 Se 3.01-3.04
Ce: 0.3750 0.1250 0.2500  8 Se 3.01-3.04
Ce: 0.3750 0.7500 0.1250  8 Se 3.01-3.04
Ce: 0.6250 0.2500 0.8750  8 Se 3.01-3.04
Ce: 0.6250 0.8750 0.7500  8 Se 3.01-3.04
Ce: 0.7500 0.1250 0.3750  8 Se 3.01-3.04
Ce: 0.7500 0.6250 0.8750  8 Se 3.01-3.04
Ce: 0.8750 0.6250 0.2500  8 Se 3.01-3.04
Ce: 0.8750 0.7500 0.6250  8 Se 3.01-3.04
Fe: 0.0000 0.0000 0.0000  6 Se 2.44
Fe: 0.0000 0.0000 0.5000  6 Se 2.44
Fe: 0.0000 0.5000 0.0000  6 Se 2.44
Fe: 0.0000 0.5000 0.5000  6 Se 2.44
Fe: 0.1250 0.7500 0.8750  4 Se 2.35
Fe: 0.1250 0.8750 0.2500  4 Se 2.35
Fe: 0.2500 0.1250 0.8750  4 Se 2.35
Fe: 0.2500 0.6250 0.3750  4 Se 2.35
Fe: 0.3750 0.2500 0.6250  4 Se 2.35
Fe: 0.3750 0.6250 0.7500  4 Se 2.35
Fe: 0.5000 0.0000 0.0000  6 Se 2.44
Fe: 0.5000 0.0000 0.5000  6 Se 2.44
Fe: 0.5000 0.5000 0.0000  6 Se 2.44
Fe: 0.5000 0.5000 0.5000  6 Se 2.44
Fe: 0.6250 0.3750 0.2500  4 Se 2.35
Fe: 0.6250 0.7500 0.3750  4 Se 2.35
Fe: 0.7500 0.3750 0.6250  4 Se 2.35
Fe: 0.7500 0.8750 0.1250  4 Se 2.35
Fe: 0.8750 0.1250 0.7500  4 Se 2.35
Fe: 0.8750 0.2500 0.1250  4 Se 2.35
Se: 0.0265 0.2009 0.1151  2 Fe 2.35-2.44
Se: 0.0265 0.3256 0.9114  2 Fe 2.35-2.44
Se: 0.0858 0.7009 0.6744  2 Fe 2.35-2.44
Se: 0.0858 0.8849 0.4114  2 Fe 2.35-2.44
Se: 0.0886 0.6151 0.4142  2 Fe 2.35-2.44
Se: 0.0886 0.9735 0.6744  2 Fe 2.35-2.44
Se: 0.1151 0.0265 0.2009  2 Fe 2.35-2.44
Se: 0.1151 0.5886 0.9142  2 Fe 2.35-2.44
Se: 0.1744 0.2009 0.5858  2 Fe 2.35-2.44
Se: 0.1744 0.4735 0.5886  2 Fe 2.35-2.44
Se: 0.2009 0.1151 0.0265  2 Fe 2.35-2.44
Se: 0.2009 0.5858 0.1744  2 Fe 2.35-2.44
Se: 0.2991 0.3256 0.9142  2 Fe 2.35-2.44
Se: 0.2991 0.4735 0.3849  2 Fe 2.35-2.44
Se: 0.3256 0.9114 0.0265  2 Fe 2.35-2.44
Se: 0.3256 0.9142 0.2991  2 Fe 2.35-2.44
Se: 0.3849 0.2991 0.4735  2 Fe 2.35-2.44
Se: 0.3849 0.5858 0.9114  2 Fe 2.35-2.44
Se: 0.4114 0.0858 0.8849  2 Fe 2.35-2.44
Se: 0.4114 0.8256 0.5265  2 Fe 2.35-2.44
Se: 0.4142 0.0886 0.6151  2 Fe 2.35-2.44
Se: 0.4142 0.8256 0.7991  2 Fe 2.35-2.44
Se: 0.4735 0.3849 0.2991  2 Fe 2.35-2.44
Se: 0.4735 0.5886 0.1744  2 Fe 2.35-2.44
Se: 0.5265 0.4114 0.8256  2 Fe 2.35-2.44
Se: 0.5265 0.6151 0.7009  2 Fe 2.35-2.44
Se: 0.5858 0.1744 0.2009  2 Fe 2.35-2.44
Se: 0.5858 0.9114 0.3849  2 Fe 2.35-2.44
Se: 0.5886 0.1744 0.4735  2 Fe 2.35-2.44
Se: 0.5886 0.9142 0.1151  2 Fe 2.35-2.44
Se: 0.6151 0.4142 0.0886  2 Fe 2.35-2.44
Se: 0.6151 0.7009 0.5265  2 Fe 2.35-2.44
Se: 0.6744 0.0858 0.7009  2 Fe 2.35-2.44
Se: 0.6744 0.0886 0.9735  2 Fe 2.35-2.44
Se: 0.7009 0.5265 0.6151  2 Fe 2.35-2.44
Se: 0.7009 0.6744 0.0858  2 Fe 2.35-2.44
Se: 0.7991 0.4142 0.8256  2 Fe 2.35-2.44
Se: 0.7991 0.8849 0.9735  2 Fe 2.35-2.44
Se: 0.8256 0.5265 0.4114  2 Fe 2.35-2.44
Se: 0.8256 0.7991 0.4142  2 Fe 2.35-2.44
Se: 0.8849 0.4114 0.0858  2 Fe 2.35-2.44
Se: 0.8849 0.9735 0.7991  2 Fe 2.35-2.44
Se: 0.9114 0.0265 0.3256  2 Fe 2.35-2.44
Se: 0.9114 0.3849 0.5858  2 Fe 2.35-2.44
Se: 0.9142 0.1151 0.5886  2 Fe 2.35-2.44
Se: 0.9142 0.2991 0.3256  2 Fe 2.35-2.44
Se: 0.9735 0.6744 0.0886  2 Fe 2.35-2.44
Se: 0.9735 0.7991 0.8849  2 Fe 2.35-2.44

Output
Its total energy is -469.341 eV/cell. Its total moment is 0.743 μB per atom. The calculation puts the uncorrected formation energy at -0.77 eV per atom.

---

This record from the Alexandria database describes Na8B11C5 after structural relaxation. The functional is GGA-PBE.

Unit cell a=2.8483 b=8.5483 c=10.1631 alpha=90.00 beta=90.00 gamma=90.00
With the nearest neighbours (Å) after each atom.
Atoms (fractional coordinates):
Na: 0.0000 0.2445 0.0000  5 C 2.67-2.75, 7 B 2.67-2.75, 6 Na 2.85-2.92
Na: 0.0000 0.2485 0.4997  3 C 2.69-2.72, 9 B 2.70-2.80, 6 Na 2.85-2.91
Na: 0.0000 0.7515 0.4997  3 C 2.69-2.72, 9 B 2.70-2.80, 6 Na 2.85-2.91
Na: 0.0000 0.7555 0.0000  5 C 2.67-2.75, 7 B 2.67-2.75, 6 Na 2.85-2.92
Na: 0.5000 0.2469 0.2501  4 C 2.68-2.74, 8 B 2.69-2.76, 6 Na 2.85-2.91
Na: 0.5000 0.2482 0.7495  3 C 2.69-2.72, 9 B 2.69-2.85, 6 Na 2.85-2.92
Na: 0.5000 0.7518 0.7495  3 C 2.69-2.72, 9 B 2.69-2.85, 6 Na 2.85-2.92
Na: 0.5000 0.7531 0.2501  4 C 2.68-2.74, 8 B 2.69-2.76, 6 Na 2.85-2.91
B: 0.0000 0.0000 0.3352  3 C 1.65-1.70
B: 0.0000 0.0000 0.8341  3 C 1.66-1.69
B: 0.0000 0.5000 0.1571  2 C 1.60, 1 B 1.69
B: 0.0000 0.5000 0.3237  3 B 1.69-1.70
B: 0.0000 0.5000 0.6736  3 B 1.64-1.72
B: 0.0000 0.5000 0.8353  3 B 1.64-1.74
B: 0.5000 0.0000 0.0846  3 C 1.65-1.70
B: 0.5000 0.0000 0.5848  3 C 1.65-1.70
B: 0.5000 0.5000 0.4146  3 B 1.67-1.70
B: 0.5000 0.5000 0.5786  3 B 1.67-1.72
B: 0.5000 0.5000 0.9335  1 C 1.54
C: 0.0000 0.0000 0.1675  3 B 1.65-1.70
C: 0.0000 0.0000 0.6675  3 B 1.65-1.69
C: 0.5000 0.0000 0.4176  3 B 1.65-1.70
C: 0.5000 0.0000 0.9173  3 B 1.66-1.70
C: 0.5000 0.5000 0.0846  3 B 1.54-1.60

Output
The value obtained for the energy above the lowest structure with this stoichiometry is 3.5 kJ/mol of atoms. Its total energy is -126.819 eV/cell. Its total moment is 0.000 μB per atom. As for the calculated formation energy: 3.30 eV per formula unit.

---

This record from the Alexandria database describes TbCeAgHg after structural relaxation. The functional is GGA-PBE.

Unit cell a=5.2920 b=5.2920 c=5.2920 alpha=60.00 beta=60.00 gamma=60.00
With the nearest neighbours (Å) after each atom.
Atoms (fractional coordinates):
Tb: 0.0000 0.0000 0.0000  4 Hg 3.24, 4 Ag 3.24
Ce: 0.5000 0.5000 0.5000  4 Hg 3.24, 4 Ag 3.24
Ag: 0.2500 0.2500 0.2500  4 Ce 3.24, 4 Tb 3.24
Hg: 0.7500 0.7500 0.7500  4 Ce 3.24, 4 Tb 3.24

Output
Its total energy is -14.786 eV/cell. Its total moment is 0.269 μB per atom. As for the calculated formation energy: -1.07 eV per formula unit.

---

This record from the Alexandria database describes La3TbAg2 after structural relaxation. The functional is GGA-PBE.

Unit cell a=5.3296 b=9.6020 c=7.0614 alpha=90.00 beta=90.00 gamma=90.00
With the nearest neighbours (Å) after each atom.
Atoms (fractional coordinates):
La: 0.0000 0.0634 0.0000  3 Ag 3.16-3.24, 1 La 3.54
La: 0.0000 0.3355 0.3382  4 Ag 3.03-3.25
La: 0.0000 0.6645 0.8382  4 Ag 3.03-3.25
La: 0.0000 0.9366 0.5000  3 Ag 3.16-3.24, 1 La 3.54
La: 0.5000 0.1687 0.6671  4 Ag 3.12-3.29
La: 0.5000 0.8313 0.1671  4 Ag 3.12-3.29
Tb: 0.5000 0.4420 0.0102  3 Ag 3.10-3.23
Tb: 0.5000 0.5580 0.5102  3 Ag 3.10-3.23
Ag: 0.0000 0.3513 0.7825  5 La 3.03-3.29, 2 Tb 3.23
Ag: 0.0000 0.6487 0.2825  5 La 3.03-3.29, 2 Tb 3.23
Ag: 0.5000 0.1607 0.2256  1 Tb 3.10, 6 La 3.12-3.25
Ag: 0.5000 0.8393 0.7256  1 Tb 3.10, 6 La 3.12-3.25

Output
Its total energy is -52.119 eV/cell. Its total moment is 0.000 μB per atom. As for the calculated formation energy: -0.94 eV per formula unit.

---

This record from the Alexandria database describes SrMgIr after structural relaxation. The functional is GGA-PBE.

Unit cell a=6.4066 b=6.4066 c=6.4066 alpha=134.09 beta=84.59 gamma=113.48
With the nearest neighbours (Å) after each atom.
Atoms (fractional coordinates):
Sr: 0.0000 0.0000 0.0000  4 Ir 3.20, 4 Mg 3.50
Sr: 0.5000 0.0000 0.5000  4 Ir 3.20, 4 Mg 3.50
Mg: 0.3415 0.5915 0.7500  2 Ir 2.71
Mg: 0.6585 0.4085 0.2500  2 Ir 2.71
Ir: 0.0000 0.0000 0.5000  2 Ir 2.50, 2 Mg 2.71
Ir: 0.0000 0.5000 0.0000  2 Ir 2.50, 2 Mg 2.71

Output
Its total energy is -25.093 eV/cell. Its total moment is 0.000 μB per atom. As for the calculated formation energy: -0.41 eV per formula unit.

---

This record from the Alexandria database describes VCl after structural relaxation. The functional is GGA-PBE.

Unit cell a=3.1691 b=6.2396 c=6.2396 alpha=127.97 beta=90.00 gamma=90.00
With the nearest neighbours (Å) after each atom.
Atoms (fractional coordinates):
V: 0.0000 0.0000 0.0000  4 Cl 2.32-2.43, 4 V 2.56
V: 0.5000 0.1352 0.7784  5 Cl 2.40-2.54, 2 V 2.56
V: 0.5000 0.7784 0.1352  5 Cl 2.40-2.54, 2 V 2.56
Cl: 0.0000 0.1200 0.4520  5 V 2.40-2.54
Cl: 0.0000 0.4520 0.1200  5 V 2.40-2.54
Cl: 0.5000 0.6894 0.6894  4 V 2.32-2.48

Output
Its total energy is -33.873 eV/cell. Its total moment is 0.232 μB per atom. The calculation puts the uncorrected formation energy at -0.16 eV per atom.

---

| no. | calculated density (Mg/m³) |
| --- | --- |
| 1 | 9.5 |
| 2 | 6.7 |
| 3 | 6.0 |
| 4 | 2.4 |
| 5 | 9.6 |
| 6 | 7.3 |
| 7 | 6.1 |
| 8 | 4.4 |